DFT (PBE-GGA) results for an optimized crystal structure of CsNaYSe2.

Values from the calculation:
Formation energy (no corrections) ... -1.16 eV/atom
Symmetry ... Cmme
N(E_F) ... 2.692 states/eV/f.u.

a = 7.044 Å, b = 7.446 Å, c = 8.820 Å
α = 114.97°, β = 90.00°, γ = 90.00°
Fractional coordinates of all 10 atoms:
Cs: 0.260 0.750 0.500
Cs: 0.740 0.250 0.500
Na: 0.000 0.000 0.000
Na: 0.000 0.500 0.000
Y: 0.500 0.750 0.000
Y: 0.500 0.250 0.000
Se: 0.674 0.895 0.790
Se: 0.674 0.605 0.210
Se: 0.326 0.395 0.790
Se: 0.326 0.105 0.210